# 1
# CoReP, optimized geometry, DFT PBE
data_CoReP
_symmetry_space_group_name_H-M 'P 1'
_symmetry_Int_Tables_number 1
_symmetry_space_group_name_Hall 'P 1'
_cell_length_a 4.8855
_cell_length_b 4.8855
_cell_length_c 4.8855
_cell_angle_alpha 145.87
_cell_angle_beta 145.87
_cell_angle_gamma 49.04
loop_
_atom_site_label
_atom_site_fract_x
_atom_site_fract_y
_atom_site_fract_z
Co1 0.9795 0.9795 0.0000
P1 0.3399 0.3399 0.0000
Re1 0.6806 0.6806 0.0000
# **Magnetization**: 0.00 μB per formula unit
# **ΔE to the lowest computed polymorph**: 295 meV/atom
# **Energy relative to the elements**: -0.05 eV/atom

---

# 2
# CoRe2P, optimized geometry, DFT PBE
data_CoRe2P
_symmetry_space_group_name_H-M 'P 1'
_symmetry_Int_Tables_number 1
_symmetry_space_group_name_Hall 'P 1'
_cell_length_a 8.1088
_cell_length_b 8.1088
_cell_length_c 8.1088
_cell_angle_alpha 19.73
_cell_angle_beta 19.73
_cell_angle_gamma 19.73
loop_
_atom_site_label
_atom_site_fract_x
_atom_site_fract_y
_atom_site_fract_z
Re1 0.0031 0.0031 0.0031
Re2 0.4969 0.4969 0.4969
Co1 0.2500 0.2500 0.2500
P1 0.7500 0.7500 0.7500
# **Magnetization**: 0.46 μB per formula unit
# **Energy relative to the elements**: 0.12 eV/atom

---

# 3
# CoRe3P, optimized geometry, DFT PBE
data_CoRe3P
_symmetry_space_group_name_H-M 'P 1'
_symmetry_Int_Tables_number 1
_symmetry_space_group_name_Hall 'P 1'
_cell_length_a 4.3194
_cell_length_b 4.3194
_cell_length_c 4.3194
_cell_angle_alpha 90.00
_cell_angle_beta 90.00
_cell_angle_gamma 90.00
loop_
_atom_site_label
_atom_site_fract_x
_atom_site_fract_y
_atom_site_fract_z
Re1 0.5000 0.0000 0.0000
Re2 0.0000 0.0000 0.5000
Re3 0.0000 0.5000 0.0000
Co1 0.5000 0.5000 0.5000
P1 0.0000 0.0000 0.0000
# **Magnetization**: 0.00 μB per formula unit
# **ΔE to the lowest computed polymorph**: 0 meV/atom
# **Energy relative to the elements**: 1.17 eV/atom

---

# 4
# Co4ReP, optimized geometry, DFT PBE
data_Co4ReP
_symmetry_space_group_name_H-M 'P 1'
_symmetry_Int_Tables_number 1
_symmetry_space_group_name_Hall 'P 1'
_cell_length_a 4.6271
_cell_length_b 4.6271
_cell_length_c 4.6271
_cell_angle_alpha 60.00
_cell_angle_beta 60.00
_cell_angle_gamma 60.00
loop_
_atom_site_label
_atom_site_fract_x
_atom_site_fract_y
_atom_site_fract_z
Co1 0.3749 0.3749 0.3749
Co2 0.3749 0.3749 0.8753
Co3 0.8753 0.3749 0.3749
Co4 0.3749 0.8753 0.3749
Re1 0.0000 0.0000 0.0000
P1 0.7500 0.7500 0.7500
# **Magnetization**: 3.84 μB per formula unit
# **Energy relative to the elements**: 0.40 eV/atom

---

# 5
# CoRe2P, optimized geometry, DFT PBE
data_CoRe2P
_symmetry_space_group_name_H-M 'P 1'
_symmetry_Int_Tables_number 1
_symmetry_space_group_name_Hall 'P 1'
_cell_length_a 5.3496
_cell_length_b 5.3496
_cell_length_c 6.3378
_cell_angle_alpha 65.04
_cell_angle_beta 65.04
_cell_angle_gamma 90.00
loop_
_atom_site_label
_atom_site_fract_x
_atom_site_fract_y
_atom_site_fract_z
P1 0.2500 0.7500 0.5000
P2 0.5000 0.5000 0.0000
Re1 0.8750 0.8859 0.7500
Re2 0.1141 0.6250 0.2500
Re3 0.3750 0.3641 0.7500
Re4 0.6359 0.1250 0.2500
Co1 0.0000 0.0000 0.0000
Co2 0.7500 0.2500 0.5000
# **Magnetization**: 0.00 μB per formula unit
# **Energy relative to the elements**: 0.88 eV/atom

---

# 6
# CoRe2P, optimized geometry, DFT PBE
data_CoRe2P
_symmetry_space_group_name_H-M 'P 1'
_symmetry_Int_Tables_number 1
_symmetry_space_group_name_Hall 'P 1'
_cell_length_a 3.0719
_cell_length_b 3.0076
_cell_length_c 6.0173
_cell_angle_alpha 75.52
_cell_angle_beta 90.00
_cell_angle_gamma 90.00
loop_
_atom_site_label
_atom_site_fract_x
_atom_site_fract_y
_atom_site_fract_z
Re1 0.5000 0.1851 0.2544
Re2 0.0000 0.8152 0.9948
Co1 0.0000 0.5230 0.5791
P1 0.5000 0.9767 0.6717
# **Magnetization**: 0.00 μB per formula unit
# **Energy relative to the elements**: -0.14 eV/atom

---

# 7
# Co2ReP, optimized geometry, DFT PBE
data_Co2ReP
_symmetry_space_group_name_H-M 'P 1'
_symmetry_Int_Tables_number 1
_symmetry_space_group_name_Hall 'P 1'
_cell_length_a 7.8353
_cell_length_b 7.8353
_cell_length_c 7.8353
_cell_angle_alpha 20.14
_cell_angle_beta 20.14
_cell_angle_gamma 20.14
loop_
_atom_site_label
_atom_site_fract_x
_atom_site_fract_y
_atom_site_fract_z
P1 0.5043 0.5043 0.5043
Co1 0.2446 0.2446 0.2446
Co2 0.9965 0.9965 0.9965
Re1 0.7546 0.7546 0.7546
# **Magnetization**: 2.87 μB per formula unit
# **Energy relative to the elements**: 0.11 eV/atom

---

# 8
# Co2ReP, optimized geometry, DFT PBE
data_Co2ReP
_symmetry_space_group_name_H-M 'P 1'
_symmetry_Int_Tables_number 1
_symmetry_space_group_name_Hall 'P 1'
_cell_length_a 7.8472
_cell_length_b 7.8472
_cell_length_c 7.8472
_cell_angle_alpha 19.63
_cell_angle_beta 19.63
_cell_angle_gamma 19.63
loop_
_atom_site_label
_atom_site_fract_x
_atom_site_fract_y
_atom_site_fract_z
Co1 0.5097 0.5097 0.5097
Co2 0.9903 0.9903 0.9903
P1 0.2500 0.2500 0.2500
Re1 0.7500 0.7500 0.7500
# **Magnetization**: 0.35 μB per formula unit
# **Energy relative to the elements**: -0.06 eV/atom

---

# 9
# CoReP2, optimized geometry, DFT PBE
data_CoReP2
_symmetry_space_group_name_H-M 'P 1'
_symmetry_Int_Tables_number 1
_symmetry_space_group_name_Hall 'P 1'
_cell_length_a 4.1222
_cell_length_b 4.1222
_cell_length_c 4.1222
_cell_angle_alpha 60.00
_cell_angle_beta 60.00
_cell_angle_gamma 60.00
loop_
_atom_site_label
_atom_site_fract_x
_atom_site_fract_y
_atom_site_fract_z
P1 0.2500 0.2500 0.2500
P2 0.7500 0.7500 0.7500
Co1 0.0000 0.0000 0.0000
Re1 0.5000 0.5000 0.5000
# **Magnetization**: 0.72 μB per formula unit
# **ΔE to the lowest computed polymorph**: 254 meV/atom
# **Energy relative to the elements**: 0.00 eV/atom

---

# 10
# CoReP2, optimized geometry, DFT PBE
data_CoReP2
_symmetry_space_group_name_H-M 'P 1'
_symmetry_Int_Tables_number 1
_symmetry_space_group_name_Hall 'P 1'
_cell_length_a 5.8182
_cell_length_b 5.8182
_cell_length_c 5.8182
_cell_angle_alpha 148.52
_cell_angle_beta 149.57
_cell_angle_gamma 44.36
loop_
_atom_site_label
_atom_site_fract_x
_atom_site_fract_y
_atom_site_fract_z
Co1 0.2109 0.7109 0.5000
Re1 0.4535 0.4535 0.0000
P1 0.7815 0.2815 0.5000
P2 0.0541 0.0541 0.0000
# **Magnetization**: 0.00 μB per formula unit
# **ΔE to the lowest computed polymorph**: 48 meV/atom
# **Energy relative to the elements**: -0.21 eV/atom

---

# 11
# Co2ReP, optimized geometry, DFT PBE
data_Co2ReP
_symmetry_space_group_name_H-M 'P 1'
_symmetry_Int_Tables_number 1
_symmetry_space_group_name_Hall 'P 1'
_cell_length_a 4.4894
_cell_length_b 4.4894
_cell_length_c 4.4894
_cell_angle_alpha 133.49
_cell_angle_beta 133.49
_cell_angle_gamma 67.88
loop_
_atom_site_label
_atom_site_fract_x
_atom_site_fract_y
_atom_site_fract_z
Co1 0.0000 0.0000 0.0000
Co2 0.5000 0.5000 0.0000
P1 0.2500 0.7500 0.5000
Re1 0.7500 0.2500 0.5000
# **Magnetization**: 0.00 μB per formula unit
# **Energy relative to the elements**: 0.06 eV/atom

---

# 12
# Co2ReP, optimized geometry, DFT PBE
data_Co2ReP
_symmetry_space_group_name_H-M 'P 1'
_symmetry_Int_Tables_number 1
_symmetry_space_group_name_Hall 'P 1'
_cell_length_a 2.8428
_cell_length_b 2.8428
_cell_length_c 5.8868
_cell_angle_alpha 90.00
_cell_angle_beta 90.00
_cell_angle_gamma 90.00
loop_
_atom_site_label
_atom_site_fract_x
_atom_site_fract_y
_atom_site_fract_z
P1 0.0000 0.0000 0.4764
Re1 0.5000 0.5000 0.7384
Co1 0.5000 0.5000 0.2746
Co2 0.0000 0.0000 0.0105
# **Magnetization**: 2.35 μB per formula unit
# **Energy relative to the elements**: -0.01 eV/atom

---

# 13
# CoReP2, optimized geometry, DFT PBE
data_CoReP2
_symmetry_space_group_name_H-M 'P 1'
_symmetry_Int_Tables_number 1
_symmetry_space_group_name_Hall 'P 1'
_cell_length_a 4.2861
_cell_length_b 2.9441
_cell_length_c 3.9823
_cell_angle_alpha 89.99
_cell_angle_beta 90.00
_cell_angle_gamma 90.00
loop_
_atom_site_label
_atom_site_fract_x
_atom_site_fract_y
_atom_site_fract_z
Re1 0.0000 0.3750 0.4981
Co1 0.5000 0.8751 0.7764
P1 0.5000 0.3748 0.2304
P2 0.0000 0.8751 0.9950
# **Magnetization**: 0.00 μB per formula unit
# **ΔE to the lowest computed polymorph**: 60 meV/atom
# **Energy relative to the elements**: -0.20 eV/atom

---

# 14
# Co2ReP, optimized geometry, DFT PBE
data_Co2ReP
_symmetry_space_group_name_H-M 'P 1'
_symmetry_Int_Tables_number 1
_symmetry_space_group_name_Hall 'P 1'
_cell_length_a 3.5668
_cell_length_b 3.5668
_cell_length_c 3.6756
_cell_angle_alpha 90.00
_cell_angle_beta 90.00
_cell_angle_gamma 90.00
loop_
_atom_site_label
_atom_site_fract_x
_atom_site_fract_y
_atom_site_fract_z
Co1 0.5000 0.5000 0.0000
Co2 0.0000 0.0000 0.0000
Re1 0.0000 0.5000 0.5000
P1 0.5000 0.0000 0.5000
# **Magnetization**: 0.34 μB per formula unit
# **Energy relative to the elements**: 0.09 eV/atom

---

# 15
# CoReP3, optimized geometry, DFT PBE
data_CoReP3
_symmetry_space_group_name_H-M 'P 1'
_symmetry_Int_Tables_number 1
_symmetry_space_group_name_Hall 'P 1'
_cell_length_a 4.2346
_cell_length_b 4.2346
_cell_length_c 4.2346
_cell_angle_alpha 90.00
_cell_angle_beta 90.00
_cell_angle_gamma 90.00
loop_
_atom_site_label
_atom_site_fract_x
_atom_site_fract_y
_atom_site_fract_z
P1 0.5000 0.0000 0.0000
P2 0.0000 0.0000 0.5000
P3 0.0000 0.5000 0.0000
Co1 0.0000 0.0000 0.0000
Re1 0.5000 0.5000 0.5000
# **Magnetization**: 0.00 μB per formula unit
# **ΔE to the lowest computed polymorph**: 0 meV/atom
# **Energy relative to the elements**: 1.01 eV/atom